(1)
Computed, not measured: SrZn2RhW after structural relaxation at the PBE level of DFT.

Output
**Space-group type**: P4/mmm (123)
**Calculated formation energy**: 2.271 eV per atom
**D(E_F)**: 6.8 states/eV/f.u.

Cell: 5.0029 5.0029 4.7276 Å, 90.00 90.00 90.00°
Fractional coordinates of all 5 atoms:
Sr 0.0000 0.0000 0.0000
Zn 0.0000 0.5000 0.0000
Zn 0.5000 0.0000 0.0000
Rh 0.0000 0.0000 0.5000
W 0.5000 0.5000 0.5000

=====

(2)
Computed, not measured: SrYRh after structural relaxation at the PBE level of DFT.

Output
**Space-group type**: I4mm (107)
**Calculated formation energy**: -0.389 eV per atom
**D(E_F)**: 1.4 states/eV/f.u.
**Relative energy among the computed polymorphs**: 0.014 eV per atom

Cell: 7.3242 7.3243 3.5441 Å, 76.00 76.00 28.00°
Fractional coordinates of all 3 atoms:
Rh 0.0163 0.0163 0.9837
Sr 0.3653 0.3653 0.6347
Y 0.6184 0.6184 0.3816

=====

(3)
Computed, not measured: Sr2YRh9 after structural relaxation at the PBE level of DFT.

Output
**Space-group type**: R-3m (166)
**Calculated formation energy**: -0.283 eV per atom
**D(E_F)**: 14.8 states/eV/f.u.

Cell: 5.3400 5.3400 9.4350 Å, 73.56 73.56 60.00°
Fractional coordinates of all 12 atoms:
Sr 0.8592 0.8592 0.4225
Sr 0.1408 0.1408 0.5775
Y 0.0000 0.0000 0.0000
Rh 0.6677 0.6677 0.9970
Rh 0.3323 0.3323 0.0030
Rh 0.5000 0.5000 0.5000
Rh 0.4230 0.4230 0.2375
Rh 0.9165 0.4230 0.2375
Rh 0.4230 0.9165 0.2375
Rh 0.5770 0.5770 0.7625
Rh 0.5770 0.0835 0.7625
Rh 0.0835 0.5770 0.7625

=====

(4)
Computed, not measured: Sr2YRh after structural relaxation at the PBE level of DFT.

Output
**Space-group type**: P4mm (99)
**Calculated formation energy**: -0.249 eV per atom
**D(E_F)**: 3.3 states/eV/f.u.
**Relative energy among the computed polymorphs**: 0.042 eV per atom

Cell: 3.6647 3.6647 10.0107 Å, 90.00 90.00 90.03°
Fractional coordinates of all 4 atoms:
Rh 0.5000 0.5000 0.7151
Sr 0.0000 0.0000 0.9222
Sr 0.5000 0.5000 0.2772
Y 0.0000 0.0000 0.5855

=====

(5)
Computed, not measured: SrY4Rh5 after structural relaxation at the PBE level of DFT.

Output
**Space-group type**: P4/mmm (123)
**Calculated formation energy**: -0.706 eV per atom
**D(E_F)**: 6.4 states/eV/f.u.

Cell: 3.4501 3.4501 17.6257 Å, 90.00 90.00 90.00°
Fractional coordinates of all 10 atoms:
Sr 0.0000 0.0000 0.0000
Y 0.0000 0.0000 0.2070
Y 0.0000 0.0000 0.4025
Y 0.0000 0.0000 0.5975
Y 0.0000 0.0000 0.7930
Rh 0.5000 0.5000 0.1193
Rh 0.5000 0.5000 0.3072
Rh 0.5000 0.5000 0.5000
Rh 0.5000 0.5000 0.6928
Rh 0.5000 0.5000 0.8807

=====

(6)
Computed, not measured: SrYRh after structural relaxation at the PBE level of DFT.

Output
**Space-group type**: F-43m (216)
**Calculated formation energy**: -0.301 eV per atom
**D(E_F)**: 0.7 states/eV/f.u.
**Relative energy among the computed polymorphs**: 0.102 eV per atom

Cell: 4.9745 4.9745 4.9745 Å, 60.00 60.00 60.00°
Fractional coordinates of all 3 atoms:
Rh 0.2500 0.2500 0.2500
Sr 0.0000 0.0000 0.0000
Y 0.5000 0.5000 0.5000

=====

(7)
Computed, not measured: SrYRh after structural relaxation at the PBE level of DFT.

Output
**Space-group type**: P3m1 (156)
**Calculated formation energy**: -0.336 eV per atom
**D(E_F)**: 1.0 states/eV/f.u.
**Relative energy among the computed polymorphs**: 0.067 eV per atom

Cell: 4.1095 4.1095 6.7370 Å, 90.00 90.00 120.00°
Fractional coordinates of all 3 atoms:
Rh 0.0000 0.0000 0.9737
Sr 0.6667 0.3333 0.2507
Y 0.3333 0.6667 0.7756

=====

(8)
Computed, not measured: Sr2YRh after structural relaxation at the PBE level of DFT.

Output
**Space-group type**: Cmmm (65)
**Calculated formation energy**: 0.312 eV per atom
**D(E_F)**: 3.9 states/eV/f.u.
**Relative energy among the computed polymorphs**: 0.603 eV per atom

Cell: 6.0129 6.0129 3.7099 Å, 89.99 89.99 115.18°
Fractional coordinates of all 4 atoms:
Rh 0.0000 0.5000 0.5000
Sr 0.0000 0.0000 0.0000
Sr 0.5000 0.5000 0.0000
Y 0.5000 0.0000 0.5000